Entry from the Alexandria database: crystalline CdRePb2 at its relaxed geometry (PBE-GGA).

Summary:
Calculated density = 12.3 g cm⁻³
Magnetization = 0.5 μB/cell
SG = Cmm2
DFT formation energy = 0.70 eV/atom
D(E_F) = 0.626 states/eV/atom
Calculated total energy = -17.98 eV for the cell shown

a = 3.117 Å, b = 3.117 Å, c = 10.777 Å
α = 90.00°, β = 90.00°, γ = 112.74°
Positions (direct):
Cd  0.000  0.000  0.000
Re  0.500  0.500  0.793
Pb  0.000  0.000  0.581
Pb  0.500  0.500  0.251

***

Entry from the Alexandria database: crystalline CdRePb2 at its relaxed geometry (PBE-GGA).

Summary:
Calculated density = 12.9 g cm⁻³
Magnetization = 1.3 μB/cell
SG = I-4m2
DFT formation energy = 0.94 eV/atom
D(E_F) = 0.826 states/eV/atom
Calculated total energy = -17.02 eV for the cell shown

a = 5.747 Å, b = 5.747 Å, c = 5.747 Å
α = 135.50°, β = 135.50°, γ = 64.75°
Positions (direct):
Cd  0.000  0.000  0.000
Re  0.750  0.250  0.500
Pb  0.250  0.750  0.500
Pb  0.500  0.500  0.000

***

Entry from the Alexandria database: crystalline CdRePb2 at its relaxed geometry (PBE-GGA).

Summary:
Calculated density = 11.9 g cm⁻³
Magnetization = 0.0 μB/cell
SG = R-3m
DFT formation energy = 0.62 eV/atom
D(E_F) = 0.329 states/eV/atom
Calculated total energy = -18.29 eV for the cell shown

a = 11.293 Å, b = 11.293 Å, c = 11.293 Å
α = 16.31°, β = 16.31°, γ = 16.31°
Positions (direct):
Cd  0.000  0.000  0.000
Re  0.500  0.500  0.500
Pb  0.235  0.235  0.235
Pb  0.765  0.765  0.765

***

Entry from the Alexandria database: crystalline CdRePb at its relaxed geometry (PBE-GGA).

Summary:
Calculated density = 13.6 g cm⁻³
Magnetization = 0.0 μB/cell
SG = P3m1
DFT formation energy = 0.94 eV/atom
Energy above the lowest structure with this stoichiometry = 0.119 eV/atom
D(E_F) = 0.484 states/eV/atom
Calculated total energy = -14.25 eV for the cell shown

a = 4.964 Å, b = 4.964 Å, c = 2.899 Å
α = 90.00°, β = 90.00°, γ = 120.00°
Positions (direct):
Cd  0.000  0.000  0.000
Re  0.333  0.667  0.500
Pb  0.667  0.333  0.498

***

Entry from the Alexandria database: crystalline CdRePb2 at its relaxed geometry (PBE-GGA).

Summary:
Calculated density = 11.9 g cm⁻³
Magnetization = 0.0 μB/cell
SG = P2/m
DFT formation energy = 0.67 eV/atom
D(E_F) = 0.880 states/eV/atom
Calculated total energy = -18.11 eV for the cell shown

a = 3.190 Å, b = 3.447 Å, c = 9.110 Å
α = 90.00°, β = 96.35°, γ = 90.00°
Positions (direct):
Cd  0.000  0.000  0.000
Re  0.500  0.000  0.500
Pb  0.065  0.500  0.696
Pb  0.935  0.500  0.304

***

Entry from the Alexandria database: crystalline CdRePb2 at its relaxed geometry (PBE-GGA).

Summary:
Calculated density = 11.7 g cm⁻³
Magnetization = 0.0 μB/cell
SG = Cmmm
DFT formation energy = 0.70 eV/atom
D(E_F) = 0.659 states/eV/atom
Calculated total energy = -17.97 eV for the cell shown

a = 3.134 Å, b = 3.134 Å, c = 10.954 Å
α = 90.00°, β = 90.00°, γ = 110.24°
Positions (direct):
Cd  0.000  0.000  0.000
Re  0.000  0.000  0.500
Pb  0.500  0.500  0.296
Pb  0.500  0.500  0.704

***

Entry from the Alexandria database: crystalline CdRePb2 at its relaxed geometry (PBE-GGA).

Summary:
Calculated density = 13.2 g cm⁻³
Magnetization = 0.7 μB/cell
SG = P4/mmm
DFT formation energy = 0.92 eV/atom
D(E_F) = 0.806 states/eV/atom
Calculated total energy = -17.09 eV for the cell shown

a = 5.088 Å, b = 5.088 Å, c = 3.475 Å
α = 90.00°, β = 90.00°, γ = 90.00°
Positions (direct):
Cd  0.000  0.000  0.000
Re  0.500  0.500  0.000
Pb  0.000  0.500  0.500
Pb  0.500  0.000  0.500

***

Entry from the Alexandria database: crystalline CdRePb2 at its relaxed geometry (PBE-GGA).

Summary:
Calculated density = 11.8 g cm⁻³
Magnetization = 0.0 μB/cell
SG = Imm2
DFT formation energy = 0.63 eV/atom
D(E_F) = 0.509 states/eV/atom
Calculated total energy = -18.24 eV for the cell shown

a = 7.476 Å, b = 7.476 Å, c = 7.476 Å
α = 156.44°, β = 142.86°, γ = 44.46°
Positions (direct):
Cd  0.000  0.000  0.000
Re  0.180  0.680  0.500
Pb  0.371  0.371  0.000
Pb  0.679  0.179  0.500